## PuTlPb2 (PBE-GGA)

Data for an optimized crystal structure of PuTlPb2.

Calculated values
The symmetry is No. 123. The excess energy over the best structure of this formula in the dataset is 0 meV per atom. For the formation energy, the calculation gives -0.115 eV per atom. The calculation puts the energy at -6.1434 eV/atom. The value obtained for the spin magnetization is 1.4058 μB/atom.

POSCAR file:
```
PuTlPb2
1.0
4.864 0.000 0.000
0.000 4.864 0.000
0.000 0.000 4.767
Pu Tl Pb
1 1 2
direct
0.000 0.000 0.000 Pu
0.500 0.500 0.000 Tl
0.000 0.500 0.500 Pb
0.500 0.000 0.500 Pb
```